1.
This record from the Alexandria database describes a geometry-optimized AcTm2Ir9 structure. The functional is PBE.

a b c (Å): 5.3731 5.3731 9.2633
angles (deg): 73.14 73.14 60.00
Element x y z (fractional)
1 Ac 0.0000 0.0000 0.0000
2 Ir 0.5848 0.0825 0.7480
3 Tm 0.1404 0.1404 0.5787
4 Ir 0.5000 0.5000 0.5000
5 Tm 0.8596 0.8596 0.4213
6 Ir 0.4152 0.9175 0.2520
7 Ir 0.3334 0.3334 0.9997
8 Ir 0.5848 0.5848 0.7480
9 Ir 0.0825 0.5848 0.7480
10 Ir 0.4152 0.4152 0.2520
11 Ir 0.9175 0.4152 0.2520
12 Ir 0.6666 0.6666 0.0003

**ρ**: 17.46 g/cm3
**Symmetry**: R-3m
**Electronic total energy**: -8.284 eV/atom
**DOS(E_F)**: 14.59 states/eV/cell

2.
This record from the Alexandria database describes a geometry-optimized Cd6SbAs2P structure. The functional is PBE.

a b c (Å): 7.1985 7.2440 10.1155
angles (deg): 90.00 90.28 90.00
Element x y z (fractional)
1 Sb 0.0000 0.5000 0.5000
2 Cd 0.6641 0.3662 0.9478
3 As 0.9626 0.9861 0.2511
4 Cd 0.3657 0.6641 0.4434
5 Cd 0.6343 0.3359 0.5566
6 Cd 0.1209 0.3766 0.7631
7 P 0.0000 0.5000 0.0000
8 Cd 0.3359 0.6338 0.0522
9 Sb 0.5000 0.0000 0.0000
10 As 0.4626 0.5139 0.7511
11 Cd 0.8791 0.6234 0.2369
12 Cd 0.1641 0.1338 0.4478
13 As 0.0374 0.0139 0.7489
14 Cd 0.8359 0.8662 0.5522
15 Cd 0.1343 0.1641 0.0566
16 Cd 0.8657 0.8359 0.9434
17 Cd 0.6209 0.1234 0.2631
18 Cd 0.3791 0.8766 0.7369
19 P 0.5000 0.0000 0.5000
20 As 0.5374 0.4861 0.2489

**ρ**: 6.15 g/cm3
**Symmetry**: P2_1/c
**Electronic total energy**: -2.430 eV/atom
**DOS(E_F)**: 3.17 states/eV/cell

3.
This record from the Alexandria database describes a geometry-optimized Rb2CaTlI6 structure. The functional is PBE.

a b c (Å): 8.5018 8.9473 12.2075
angles (deg): 90.00 90.15 90.00
Element x y z (fractional)
1 Tl 0.0000 0.5000 0.0000
2 I 0.1865 0.2026 0.4463
3 Rb 0.5309 0.5845 0.7506
4 I 0.6095 0.0230 0.2452
5 Ca 0.5000 0.0000 0.0000
6 Rb 0.9691 0.0845 0.7494
7 I 0.8135 0.7974 0.5537
8 I 0.3905 0.9770 0.7548
9 I 0.3031 0.6897 0.4486
10 I 0.6865 0.2974 0.9463
11 I 0.1969 0.1897 0.0514
12 Ca 0.0000 0.5000 0.5000
13 I 0.8905 0.5230 0.2548
14 I 0.6969 0.3103 0.5514
15 I 0.1095 0.4770 0.7452
16 Tl 0.5000 0.0000 0.5000
17 Rb 0.0309 0.9155 0.2506
18 Rb 0.4691 0.4155 0.2494
19 I 0.3135 0.7026 0.0537
20 I 0.8031 0.8103 0.9486

**ρ**: 4.21 g/cm3
**Symmetry**: P2_1/c
**Electronic total energy**: -2.726 eV/atom
**DOS(E_F)**: 13.56 states/eV/cell

4.
This record from the Alexandria database describes a geometry-optimized Pu2Pa4Al structure. The functional is PBE.

a b c (Å): 5.0076 5.0076 7.8787
angles (deg): 71.47 71.47 60.00
Element x y z (fractional)
1 Pa 0.8598 0.8598 0.4206
2 Pa 0.5965 0.5965 0.2104
3 Pu 0.7413 0.7413 0.7761
4 Pa 0.1402 0.1402 0.5794
5 Pa 0.4035 0.4035 0.7896
6 Al 0.0000 0.0000 0.0000
7 Pu 0.2587 0.2587 0.2239

**ρ**: 15.01 g/cm3
**Symmetry**: R-3m
**Electronic total energy**: -9.997 eV/atom
**DOS(E_F)**: 15.44 states/eV/cell

5.
This record from the Alexandria database describes a geometry-optimized KScSi2 structure. The functional is PBE.

a b c (Å): 5.7460 5.7460 5.7460
angles (deg): 136.60 136.60 63.06
Element x y z (fractional)
1 Si 0.0000 0.0000 0.0000
2 K 0.5000 0.5000 0.0000
3 Si 0.2500 0.7500 0.5000
4 Sc 0.7500 0.2500 0.5000

**ρ**: 2.63 g/cm3
**Symmetry**: I-4m2
**Electronic total energy**: -4.101 eV/atom
**DOS(E_F)**: 4.25 states/eV/cell

6.
This record from the Alexandria database describes a geometry-optimized RbReBr6 structure. The functional is PBE.

a b c (Å): 6.6708 6.6708 6.6921
angles (deg): 78.86 78.86 100.95
Element x y z (fractional)
1 Br 0.7267 0.0693 0.2729
2 Br 0.2733 0.9307 0.7271
3 Br 0.0693 0.7267 0.2729
4 Br 0.2732 0.2732 0.0677
5 Br 0.9307 0.2733 0.7271
6 Rb 0.5000 0.5000 0.5000
7 Br 0.7268 0.7268 0.9323
8 Re 0.0000 0.0000 0.0000

**ρ**: 4.48 g/cm3
**Symmetry**: C2/m
**Electronic total energy**: -3.559 eV/atom
**DOS(E_F)**: 5.96 states/eV/cell

7.
This record from the Alexandria database describes a geometry-optimized K2Hg2PtI4 structure. The functional is PBE.

a b c (Å): 7.5897 7.5897 7.5897
angles (deg): 102.13 113.26 113.26
Element x y z (fractional)
1 K 0.5000 0.2500 0.7500
2 Hg 0.0000 0.6837 0.6837
3 I 0.5466 0.7733 0.7733
4 I 0.4534 0.2267 0.2267
5 I 0.0000 0.2267 0.7733
6 Pt 0.0000 0.0000 0.0000
7 K 0.5000 0.7500 0.2500
8 I 0.0000 0.7733 0.2267
9 Hg 0.0000 0.3163 0.3163

**ρ**: 5.90 g/cm3
**Symmetry**: I4/mmm
**Electronic total energy**: -2.352 eV/atom
**DOS(E_F)**: 0.29 states/eV/cell

8.
This record from the Alexandria database describes a geometry-optimized Zn2CrW structure. The functional is PBE.

a b c (Å): 2.5946 4.0260 5.4757
angles (deg): 90.00 90.00 90.00
Element x y z (fractional)
1 Zn 0.0000 0.0000 0.0110
2 Zn 0.5000 0.5000 0.2441
3 W 0.5000 0.5000 0.7322
4 Cr 0.0000 0.0000 0.5128

**ρ**: 10.64 g/cm3
**Symmetry**: Pmm2
**Electronic total energy**: -5.948 eV/atom
**DOS(E_F)**: 2.88 states/eV/cell

9.
This record from the Alexandria database describes a geometry-optimized V4H2Ir structure. The functional is PBE.

a b c (Å): 4.6385 4.6385 5.7345
angles (deg): 66.14 66.14 90.00
Element x y z (fractional)
1 V 0.7460 0.7460 0.5079
2 V 0.5000 0.0000 0.0000
3 V 0.2540 0.2540 0.4921
4 H 0.4407 0.4407 0.1186
5 V 0.0000 0.5000 0.0000
6 Ir 0.0000 0.0000 0.0000
7 H 0.5593 0.5593 0.8814

**ρ**: 6.53 g/cm3
**Symmetry**: I4/mmm
**Electronic total energy**: -6.601 eV/atom
**DOS(E_F)**: 8.80 states/eV/cell

10.
This record from the Alexandria database describes a geometry-optimized MgHg3P structure. The functional is PBE.

a b c (Å): 5.4124 5.4124 5.4124
angles (deg): 90.00 90.00 90.00
Element x y z (fractional)
1 Mg 0.0000 0.0000 0.0000
2 Hg 0.0000 0.5000 0.0000
3 Hg 0.5000 0.0000 0.0000
4 P 0.5000 0.5000 0.5000
5 Hg 0.0000 0.0000 0.5000

**ρ**: 6.88 g/cm3
**Symmetry**: Pm-3m
**Electronic total energy**: -0.945 eV/atom
**DOS(E_F)**: 3.78 states/eV/cell

11.
This record from the Alexandria database describes a geometry-optimized TiHF3 structure. The functional is PBE.

a b c (Å): 2.8514 8.7257 5.4239
angles (deg): 78.11 90.00 90.00
Element x y z (fractional)
1 H 0.2500 0.7021 0.4013
2 H 0.7500 0.2979 0.5987
3 F 0.7500 0.5795 0.1861
4 F 0.7500 0.7795 0.8227
5 F 0.7500 0.8821 0.1913
6 F 0.2500 0.2205 0.1773
7 F 0.2500 0.1179 0.8087
8 Ti 0.2500 0.7439 0.0909
9 F 0.2500 0.4205 0.8139
10 Ti 0.7500 0.2561 0.9091

**ρ**: 2.66 g/cm3
**Symmetry**: P2_1/m
**Electronic total energy**: -5.680 eV/atom

12.
This record from the Alexandria database describes a geometry-optimized Zr2AlOF structure. The functional is PBE.

a b c (Å): 4.2770 4.7157 4.2770
angles (deg): 90.00 90.00 90.00
Element x y z (fractional)
1 Al 0.5000 0.5000 0.5000
2 Zr 0.0000 0.0000 0.5000
3 O 0.0000 0.0000 0.0000
4 Zr 0.5000 0.0000 0.0000
5 F 0.0000 0.5000 0.0000

**ρ**: 4.71 g/cm3
**Symmetry**: P4/mmm
**Electronic total energy**: -6.681 eV/atom
**DOS(E_F)**: 4.70 states/eV/cell

13.
This record from the Alexandria database describes a geometry-optimized Tl7BiAu2 structure. The functional is PBE.

a b c (Å): 4.9989 4.9989 12.5204
angles (deg): 101.52 101.52 90.00
Element x y z (fractional)
1 Au 0.6780 0.6780 0.3560
2 Tl 0.3964 0.8964 0.7927
3 Tl 0.2500 0.7500 0.5000
4 Tl 0.6036 0.1036 0.2073
5 Au 0.3220 0.3220 0.6440
6 Tl 0.1036 0.6036 0.2073
7 Tl 0.8964 0.3964 0.7927
8 Tl 0.7500 0.2500 0.5000
9 Tl 0.5000 0.5000 0.0000
10 Bi 0.0000 0.0000 0.0000

**ρ**: 11.25 g/cm3
**Symmetry**: I4/mmm
**Electronic total energy**: -2.724 eV/atom
**DOS(E_F)**: 3.88 states/eV/cell

14.
This record from the Alexandria database describes a geometry-optimized TlNiSeN2 structure. The functional is PBE.

a b c (Å): 4.1883 4.1883 5.9503
angles (deg): 90.00 90.00 90.00
Element x y z (fractional)
1 Se 0.0000 0.0000 0.5000
2 N 0.5000 0.0000 0.0000
3 N 0.0000 0.5000 0.0000
4 Ni 0.5000 0.5000 0.5000
5 Tl 0.0000 0.0000 0.0000

**ρ**: 5.89 g/cm3
**Symmetry**: P4/mmm
**Electronic total energy**: -3.575 eV/atom
**DOS(E_F)**: 3.73 states/eV/cell

15.
This record from the Alexandria database describes a geometry-optimized Be3Au structure. The functional is PBE.

a b c (Å): 3.9244 3.9244 3.9244
angles (deg): 60.00 60.00 60.00
Element x y z (fractional)
1 Be 0.2500 0.2500 0.2500
2 Au 0.0000 0.0000 0.0000
3 Be 0.7500 0.7500 0.7500
4 Be 0.5000 0.5000 0.5000

**ρ**: 8.70 g/cm3
**Symmetry**: Fm-3m
**Electronic total energy**: -3.639 eV/atom
**DOS(E_F)**: 0.54 states/eV/cell

16.
This record from the Alexandria database describes a geometry-optimized Ac3Cd2Pt4 structure. The functional is PBE.

a b c (Å): 4.3634 6.7308 9.3901
angles (deg): 115.68 90.00 108.91
Element x y z (fractional)
1 Pt 0.3005 0.6010 0.9348
2 Cd 0.3268 0.6535 0.6522
3 Ac 0.3665 0.7331 0.2923
4 Pt 0.0687 0.1375 0.4181
5 Cd 0.6732 0.3465 0.3478
6 Ac 0.6335 0.2669 0.7077
7 Pt 0.6995 0.3990 0.0652
8 Ac 0.0000 0.0000 0.0000
9 Pt 0.9313 0.8625 0.5819

**ρ**: 12.07 g/cm3
**Symmetry**: C2/m
**Electronic total energy**: -5.158 eV/atom
**DOS(E_F)**: 4.44 states/eV/cell

17.
This record from the Alexandria database describes a geometry-optimized VReMo2 structure. The functional is PBE.

a b c (Å): 5.6919 5.6919 5.6919
angles (deg): 55.42 150.17 134.43
Element x y z (fractional)
1 V 0.0000 0.0000 0.0000
2 Mo 0.0000 0.7470 0.7470
3 Re 0.0000 0.5000 0.5000
4 Mo 0.0000 0.2530 0.2530

**ρ**: 10.94 g/cm3
**Symmetry**: Immm
**Electronic total energy**: -10.063 eV/atom
**DOS(E_F)**: 3.38 states/eV/cell

18.
This record from the Alexandria database describes a geometry-optimized ErTaGa2 structure. The functional is PBE.

a b c (Å): 3.1353 3.1353 9.4955
angles (deg): 80.50 80.50 60.00
Element x y z (fractional)
1 Er 0.5000 0.5000 0.5000
2 Ta 0.0000 0.0000 0.0000
3 Ga 0.7446 0.7446 0.7663
4 Ga 0.2554 0.2554 0.2337

**ρ**: 10.20 g/cm3
**Symmetry**: R-3m
**Electronic total energy**: -5.686 eV/atom
**DOS(E_F)**: 3.31 states/eV/cell

19.
This record from the Alexandria database describes a geometry-optimized Hf2Tl2CrTe6 structure. The functional is PBE.

a b c (Å): 7.0570 7.0570 8.7127
angles (deg): 97.95 97.95 120.11
Element x y z (fractional)
1 Hf 0.6717 0.3283 0.5000
2 Tl 0.1695 0.8305 0.0000
3 Tl 0.8305 0.1695 0.0000
4 Te 0.3974 0.0751 0.7019
5 Te 0.7418 0.7418 0.6933
6 Te 0.6026 0.9249 0.2981
7 Te 0.2582 0.2582 0.3067
8 Te 0.0751 0.3974 0.7019
9 Te 0.9249 0.6026 0.2981
10 Hf 0.3283 0.6717 0.5000
11 Cr 0.0000 0.0000 0.5000

**ρ**: 7.29 g/cm3
**Symmetry**: C2/m
**Electronic total energy**: -5.354 eV/atom
**DOS(E_F)**: 5.10 states/eV/cell

20.
This record from the Alexandria database describes a geometry-optimized LaHgTe2 structure. The functional is PBE.

a b c (Å): 5.5288 5.5288 5.5288
angles (deg): 60.00 60.00 60.00
Element x y z (fractional)
1 Hg 0.5000 0.5000 0.5000
2 La 0.7500 0.7500 0.7500
3 Te 0.2500 0.2500 0.2500
4 Te 0.0000 0.0000 0.0000

**ρ**: 8.26 g/cm3
**Symmetry**: F-43m
**Electronic total energy**: -3.520 eV/atom
**DOS(E_F)**: 2.55 states/eV/cell